Record 1
A geometry-optimized TbCeIrOs structure, computed with PBE.

Unit cell a=6.920 b=6.920 c=6.920 alpha=90.00 beta=90.00 gamma=90.00
Positions (direct):
Tb  0.000  0.000  0.000
Tb  0.000  0.500  0.500
Tb  0.500  0.000  0.500
Tb  0.500  0.500  0.000
Ce  0.000  0.000  0.500
Ce  0.000  0.500  0.000
Ce  0.500  0.000  0.000
Ce  0.500  0.500  0.500
Ir  0.250  0.250  0.750
Ir  0.250  0.750  0.250
Ir  0.750  0.250  0.250
Ir  0.750  0.750  0.750
Os  0.250  0.250  0.250
Os  0.250  0.750  0.750
Os  0.750  0.250  0.750
Os  0.750  0.750  0.250

## Properties
The total magnetic moment comes out at 0.00 μB per formula unit. The calculation puts the formation energy at -0.393 eV/atom.

=====

Record 2
A geometry-optimized Ce4Pu2Bi3O2 structure, computed with PBE.

Unit cell a=13.482 b=13.482 c=13.482 alpha=158.50 beta=158.50 gamma=30.59
Positions (direct):
Ce  0.144  0.644  0.500
Ce  0.356  0.856  0.500
Ce  0.644  0.144  0.500
Ce  0.856  0.356  0.500
Pu  0.114  0.114  0.000
Pu  0.886  0.886  0.000
Bi  0.000  0.000  0.000
Bi  0.237  0.237  0.000
Bi  0.763  0.763  0.000
O  0.357  0.357  0.000
O  0.643  0.643  0.000

## Properties
Its uncorrected formation energy is -0.576 eV per atom. The total magnetic moment comes out at 13.76 μB per formula unit.

=====

Record 3
A geometry-optimized KNi2Ir structure, computed with PBE.

Unit cell a=5.044 b=5.044 c=15.406 alpha=90.00 beta=90.00 gamma=90.00
Positions (direct):
K  0.000  0.250  0.375
K  0.000  0.750  0.625
K  0.500  0.250  0.125
K  0.500  0.750  0.875
Ni  0.000  0.000  0.000
Ni  0.000  0.500  0.000
Ni  0.250  0.250  0.750
Ni  0.250  0.750  0.250
Ni  0.500  0.000  0.500
Ni  0.500  0.500  0.500
Ni  0.750  0.250  0.750
Ni  0.750  0.750  0.250
Ir  0.000  0.250  0.875
Ir  0.000  0.750  0.125
Ir  0.500  0.250  0.625
Ir  0.500  0.750  0.375

## Properties
The total magnetic moment comes out at 0.00 μB per formula unit. The calculation puts the formation energy at 0.769 eV/atom.

=====

| no. | final energy (Ry/atom) |
| --- | --- |
| 1 | -0.5921 |
| 2 | -0.5365 |
| 3 | -0.3389 |